No. 1
Material: Ce3Zn3Ru2
Method: DFT, PBE
State: relaxed

Calculated values
Crystal system: monoclinic
Energy of formation in eV/atom: -0.327
Magnetization in Bohr magnetons per cell: 0.62

a = 8.044 Å, b = 8.044 Å, c = 4.823 Å
α = 98.59°, β = 98.59°, γ = 33.40°
Fractional coordinates of all 8 atoms:
Ce 0.000 0.000 0.000
Ce 0.163 0.163 0.570
Ce 0.837 0.837 0.430
Zn 0.371 0.371 0.950
Zn 0.500 0.500 0.500
Zn 0.629 0.629 0.050
Ru 0.210 0.210 0.111
Ru 0.790 0.790 0.889

=====

No. 2
Material: Ce12ZnRu7
Method: DFT, PBE
State: relaxed

Calculated values
Crystal system: trigonal
Energy of formation in eV/atom: -0.253
Magnetization in Bohr magnetons per cell: 0.01

a = 8.354 Å, b = 8.354 Å, c = 8.354 Å
α = 109.97°, β = 109.97°, γ = 109.97°
Fractional coordinates of all 20 atoms:
Ce 0.099 0.301 0.411
Ce 0.181 0.695 0.355
Ce 0.301 0.411 0.099
Ce 0.305 0.645 0.819
Ce 0.355 0.181 0.695
Ce 0.411 0.099 0.301
Ce 0.589 0.901 0.699
Ce 0.645 0.819 0.305
Ce 0.695 0.355 0.181
Ce 0.699 0.589 0.901
Ce 0.819 0.305 0.645
Ce 0.901 0.699 0.589
Zn 0.000 0.000 0.000
Ru 0.031 0.928 0.318
Ru 0.072 0.682 0.969
Ru 0.318 0.031 0.928
Ru 0.500 0.500 0.500
Ru 0.682 0.969 0.072
Ru 0.928 0.318 0.031
Ru 0.969 0.072 0.682